NaAs2RhN PBEsol optimized geometry; uncorrected formation energy = 2.444 eV/atom; magnetization = 2.14 μB per formula unit; space group = No. 123; mass density = 4.6 g/cm³
1.0
4.594 0.000 0.000
0.000 4.777 0.000
0.000 0.000 4.777
N As Na Rh
1 2 1 1
direct
0.500 0.500 0.500
0.000 0.500 0.000
0.000 0.000 0.500
0.000 0.000 0.000
0.500 0.000 0.000

NbAsN2O PBEsol optimized geometry; uncorrected formation energy = 0.318 eV/atom; magnetization = 1.36 μB per formula unit; space group = No. 123; mass density = 6.8 g/cm³
1.0
3.632 0.000 0.000
0.000 3.775 0.000
0.000 0.000 3.775
Nb O As N
1 1 1 2
direct
0.500 0.500 0.500
0.500 0.000 0.000
0.000 0.000 0.000
0.000 0.000 0.500
0.000 0.500 0.000

NbAsN2O PBEsol optimized geometry; uncorrected formation energy = -0.002 eV/atom; magnetization = 0.00 μB per formula unit; space group = No. 123; mass density = 5.4 g/cm³
1.0
3.840 0.000 0.000
0.000 4.122 0.000
0.000 0.000 4.122
N O As Nb
2 1 1 1
direct
0.000 0.500 0.000
0.000 0.000 0.500
0.500 0.000 0.000
0.500 0.500 0.500
0.000 0.000 0.000

NbAsNO2 PBEsol optimized geometry; uncorrected formation energy = -0.709 eV/atom; magnetization = 0.00 μB per formula unit; space group = No. 123; mass density = 5.5 g/cm³
1.0
3.915 0.000 0.000
0.000 3.915 0.000
0.000 0.000 4.207
Nb As N O
1 1 1 2
direct
0.000 0.000 0.000
0.500 0.500 0.500
0.000 0.000 0.500
0.500 0.000 0.000
0.000 0.500 0.000

NiAs3N PBEsol optimized geometry; uncorrected formation energy = 1.380 eV/atom; magnetization = 0.00 μB per formula unit; space group = No. 221; mass density = 5.6 g/cm³
1.0
-2.387 3.098 2.107
-3.614 -2.564 -0.324
0.990 -1.888 3.898
As N Ni
3 1 1
direct
0.000 0.000 0.500
0.500 0.000 0.000
0.000 0.500 0.000
0.500 0.500 0.500
0.000 0.000 0.000

NiAsSN2 PBEsol optimized geometry; uncorrected formation energy = 1.126 eV/atom; magnetization = 2.25 μB per formula unit; space group = No. 123; mass density = 5.2 g/cm³
1.0
-0.094 1.195 3.452
3.371 -1.303 0.543
1.802 4.091 -1.367
N S As Ni
2 1 1 1
direct
0.500 0.000 0.000
0.000 0.500 0.000
0.000 0.000 0.500
0.500 0.500 0.500
0.000 0.000 0.000

AsPdN2O PBEsol optimized geometry; uncorrected formation energy = 1.251 eV/atom; magnetization = 0.00 μB per formula unit; space group = No. 123; mass density = 6.5 g/cm³
1.0
-0.457 -3.791 0.406
0.958 -0.510 -3.684
3.758 -0.343 1.025
Pd N As O
1 2 1 1
direct
0.000 0.000 0.000
0.000 0.500 0.000
0.500 0.000 0.000
0.500 0.500 0.500
0.000 0.000 0.500

SbAsN2O PBEsol optimized geometry; uncorrected formation energy = 0.702 eV/atom; magnetization = 0.00 μB per formula unit; space group = No. 123; mass density = 6.4 g/cm³
1.0
-2.629 1.416 2.413
-2.779 -0.181 -2.921
-0.964 -3.747 1.148
As O Sb N
1 1 1 2
direct
0.500 0.500 0.500
0.500 0.000 0.000
0.000 0.000 0.000
0.000 0.000 0.500
0.000 0.500 0.000